The following is a PBE calculation of BeMo2Se after structural relaxation, from Alexandria.

The value obtained for the density of states at the Fermi level is 0.88 states/eV per atom. For the distance to the lowest polymorph of the same formula, the calculation gives 412 meV per atom. As for the crystal system: cubic. The space group is No. 216.

The structure in CIF format:
```
data_BeMo2Se
_symmetry_space_group_name_H-M 'P 1'
_symmetry_Int_Tables_number 1
_cell_length_a 4.3831
_cell_length_b 4.3831
_cell_length_c 4.3831
_cell_angle_alpha 60.00
_cell_angle_beta 60.00
_cell_angle_gamma 60.00
loop_
_symmetry_equiv_pos_as_xyz
'x,y,z'
loop_
_atom_site_label
_atom_site_type_symbol
_atom_site_fract_x
_atom_site_fract_y
_atom_site_fract_z
_atom_site_occupancy
Be1 Be 0.5000 0.5000 0.5000 1
Mo1 Mo 0.0000 0.0000 0.0000 1
Mo2 Mo 0.2500 0.2500 0.2500 1
Se1 Se 0.7500 0.7500 0.7500 1
```